Density functional theory data (GGA-PBE) for crystalline MnCd2Ir2 at its relaxed geometry.

Computed properties:
Relative energy among the computed polymorphs: 0 meV per atom
Symmetry: P4/mbm, No. 127
Formation energy: 0.13 eV per atom

a = 6.476 Å, b = 6.476 Å, c = 4.320 Å
α = 90.00°, β = 90.00°, γ = 90.00°
Positions (direct):
1 Mn 0.000 0.000 0.000
2 Mn 0.500 0.500 0.000
3 Cd 0.172 0.328 0.500
4 Cd 0.328 0.828 0.500
5 Cd 0.672 0.172 0.500
6 Cd 0.828 0.672 0.500
7 Ir 0.135 0.635 0.000
8 Ir 0.365 0.135 0.000
9 Ir 0.635 0.865 0.000
10 Ir 0.865 0.365 0.000

***

Density functional theory data (GGA-PBE) for crystalline Dy8CdC4 at its relaxed geometry.

Computed properties:
Symmetry: C2/m, No. 12
Formation energy: -0.25 eV per atom

a = 9.012 Å, b = 9.012 Å, c = 12.174 Å
α = 131.48°, β = 131.48°, γ = 23.18°
Positions (direct):
1 Dy 0.043 0.043 0.227
2 Dy 0.302 0.302 0.443
3 Dy 0.340 0.340 0.161
4 Dy 0.360 0.360 0.903
5 Dy 0.640 0.640 0.097
6 Dy 0.660 0.660 0.839
7 Dy 0.698 0.698 0.557
8 Dy 0.957 0.957 0.773
9 Cd 0.000 0.000 0.500
10 C 0.151 0.151 0.970
11 C 0.330 0.330 0.669
12 C 0.670 0.670 0.331
13 C 0.849 0.849 0.030

***

Density functional theory data (GGA-PBE) for crystalline Ac2LaTmP4 at its relaxed geometry.

Computed properties:
Symmetry: P2/m, No. 10
Formation energy: -1.48 eV per atom

a = 7.414 Å, b = 4.288 Å, c = 7.423 Å
α = 90.00°, β = 109.42°, γ = 90.00°
Positions (direct):
1 Ac 0.000 0.000 0.000
2 Ac 0.500 0.500 0.000
3 La 0.000 0.500 0.500
4 Tm 0.500 0.000 0.500
5 P 0.253 0.000 0.734
6 P 0.264 0.500 0.271
7 P 0.736 0.500 0.729
8 P 0.747 0.000 0.266

***

Density functional theory data (GGA-PBE) for crystalline ZnBi4O9 at its relaxed geometry.

Computed properties:
Symmetry: P2/c, No. 13
Formation energy from raw total energies: -1.022 eV/atom

a = 8.226 Å, b = 5.738 Å, c = 11.333 Å
α = 90.00°, β = 127.78°, γ = 90.00°
Positions (direct):
1 Zn 0.000 0.200 0.250
2 Zn 0.000 0.800 0.750
3 Bi 0.208 0.180 0.066
4 Bi 0.208 0.820 0.566
5 Bi 0.367 0.290 0.848
6 Bi 0.367 0.710 0.348
7 Bi 0.633 0.290 0.652
8 Bi 0.633 0.710 0.152
9 Bi 0.792 0.180 0.434
10 Bi 0.792 0.820 0.934
11 O 0.119 0.151 0.611
12 O 0.119 0.849 0.111
13 O 0.170 0.374 0.208
14 O 0.170 0.626 0.708
15 O 0.241 0.000 0.414
16 O 0.241 0.000 0.914
17 O 0.326 0.454 0.012
18 O 0.326 0.546 0.512
19 O 0.500 0.028 0.250
20 O 0.500 0.972 0.750
21 O 0.674 0.454 0.488
22 O 0.674 0.546 0.988
23 O 0.759 0.000 0.086
24 O 0.759 0.000 0.586
25 O 0.830 0.374 0.292
26 O 0.830 0.626 0.792
27 O 0.881 0.151 0.889
28 O 0.881 0.849 0.389

***

Density functional theory data (GGA-PBE) for crystalline Ca3TlPd2 at its relaxed geometry.

Computed properties:
Symmetry: P4/mmm, No. 123
Formation energy: -0.58 eV per atom

a = 3.600 Å, b = 3.600 Å, c = 11.304 Å
α = 90.00°, β = 90.00°, γ = 90.00°
Positions (direct):
1 Ca 0.000 0.000 0.000
2 Ca 0.000 0.000 0.302
3 Ca 0.000 0.000 0.698
4 Tl 0.500 0.500 0.500
5 Pd 0.500 0.500 0.151
6 Pd 0.500 0.500 0.849

***

Density functional theory data (GGA-PBE) for crystalline PW at its relaxed geometry.

Computed properties:
Symmetry: Cmme, No. 67
Formation energy: 0.24 eV per atom

a = 2.793 Å, b = 2.793 Å, c = 9.388 Å
α = 90.00°, β = 90.00°, γ = 109.30°
Positions (direct):
1 P 0.250 0.750 0.819
2 P 0.750 0.250 0.181
3 W 0.250 0.750 0.378
4 W 0.750 0.250 0.622

***

Density functional theory data (GGA-PBE) for crystalline PmGe2Au6 at its relaxed geometry.

Computed properties:
Relative energy among the computed polymorphs: 120 meV per atom
Symmetry: P6/mmm, No. 191
Formation energy: -0.16 eV per atom

a = 5.629 Å, b = 5.629 Å, c = 7.570 Å
α = 90.00°, β = 90.00°, γ = 120.00°
Positions (direct):
1 Pm 0.000 0.000 0.000
2 Ge 0.333 0.667 0.500
3 Ge 0.667 0.333 0.500
4 Au 0.000 0.500 0.199
5 Au 0.000 0.500 0.801
6 Au 0.500 0.000 0.199
7 Au 0.500 0.000 0.801
8 Au 0.500 0.500 0.199
9 Au 0.500 0.500 0.801

***

Density functional theory data (GGA-PBE) for crystalline SiTe3S at its relaxed geometry.

Computed properties:
Relative energy among the computed polymorphs: 0 meV per atom
Symmetry: Pm-3m, No. 221
Formation energy from raw total energies: 0.756 eV/atom

a = 5.234 Å, b = 5.234 Å, c = 5.234 Å
α = 90.00°, β = 90.00°, γ = 90.00°
Positions (direct):
1 Si 0.000 0.000 0.000
2 Te 0.000 0.500 0.500
3 Te 0.500 0.000 0.500
4 Te 0.500 0.500 0.000
5 S 0.500 0.500 0.500

***

Density functional theory data (GGA-PBE) for crystalline CeMgTcPt at its relaxed geometry.

Computed properties:
Symmetry: F-43m, No. 216
Formation energy: -0.36 eV per atom

a = 4.727 Å, b = 4.727 Å, c = 4.727 Å
α = 60.00°, β = 60.00°, γ = 60.00°
Positions (direct):
1 Ce 0.000 0.000 0.000
2 Mg 0.500 0.500 0.500
3 Tc 0.250 0.250 0.250
4 Pt 0.750 0.750 0.750

***

Density functional theory data (GGA-PBE) for crystalline PaZnCuO4 at its relaxed geometry.

Computed properties:
Symmetry: Imma, No. 74
Formation energy from raw total energies: -2.160 eV/atom

a = 6.385 Å, b = 6.385 Å, c = 6.385 Å
α = 121.14°, β = 106.57°, γ = 101.40°
Positions (direct):
1 Pa 0.000 0.000 0.000
2 Pa 0.500 0.000 0.500
3 Zn 0.360 0.610 0.750
4 Zn 0.640 0.390 0.250
5 Cu 0.000 0.000 0.500
6 Cu 0.000 0.500 0.000
7 O 0.232 0.206 0.474
8 O 0.232 0.758 0.026
9 O 0.288 0.246 0.043
10 O 0.297 0.754 0.543
11 O 0.703 0.246 0.457
12 O 0.712 0.754 0.957
13 O 0.768 0.242 0.974
14 O 0.768 0.794 0.526

***

| no. | raw total energy (eV/cell) |
| --- | --- |
| 1 | -56.2 |
| 2 | -77.9 |
| 3 | -51.1 |
| 4 | -151.4 |
| 5 | -22.2 |
| 6 | -35.8 |
| 7 | -35.1 |
| 8 | -15.2 |
| 9 | -25.4 |
| 10 | -99.6 |